Version A
## CaRuC (PBE-GGA)

Data for CaRuC after structural relaxation.

Output
Magnetization = 0.000 μB/f.u.

Cell: 4.729 3.428 3.428 Å, 120.00 90.00 90.00°
Atoms (fractional coordinates):
1 C 0.117 0.000 0.000
2 Ca 0.703 0.667 0.333
3 Ru 0.181 0.333 0.667

---

Version B
## CaRuC (PBE-GGA)

Data for CaRuC after structural relaxation.

Output
Magnetization = 0.000 μB/f.u.

Cell: 3.795 3.795 8.046 Å, 90.00 90.00 90.00°
Atoms (fractional coordinates):
1 C 0.000 0.500 0.394
2 C 0.500 0.000 0.606
3 Ca 0.500 0.000 0.202
4 Ca 0.000 0.500 0.798
5 Ru 0.500 0.500 0.500
6 Ru 0.000 0.000 0.500

---

Version C
## CaRuC (PBE-GGA)

Data for CaRuC after structural relaxation.

Output
Magnetization = 0.000 μB/f.u.

Cell: 3.285 5.380 6.213 Å, 98.20 105.36 90.01°
Atoms (fractional coordinates):
1 Ca 0.349 0.295 0.694
2 Ca 0.656 0.713 0.309
3 Ru 0.087 0.165 0.172
4 Ru 0.917 0.843 0.831
5 C 0.666 0.231 0.328
6 C 0.339 0.777 0.675

---

version A takes first place; second place is 7 meV/atom up.

---

Version A
## CaSb3C (PBE-GGA)

Data for CaSb3C after structural relaxation.

Output
Magnetization = 1.408 μB/f.u.

Cell: 5.733 5.733 5.733 Å, 90.00 90.00 90.00°
Each line ends with the local moment (μB).
Atoms (fractional coordinates):
1 Sb 0.000 0.500 0.000  -0.03
2 Sb 0.000 0.000 0.500  -0.10
3 Sb 0.500 0.000 0.000  -0.06
4 C 0.500 0.500 0.500  0.91
5 Ca 0.000 0.000 0.000  0.01

---

Version B
## CaSb3C (PBE-GGA)

Data for CaSb3C after structural relaxation.

Output
Magnetization = 0.000 μB/f.u.

Cell: 4.913 4.913 4.913 Å, 90.00 90.00 90.00°
Atoms (fractional coordinates):
1 Ca 0.500 0.500 0.500
2 Sb 0.000 0.000 0.500
3 Sb 0.500 0.000 0.000
4 Sb 0.000 0.500 0.000
5 C 0.000 0.000 0.000

---

version B takes first place; second place is 1444 meV/atom up.